This record from Alexandria via LeMat-Bulk describes La21Mn8Sb7C12 after structural relaxation. The functional is PBE.

Lattice parameters (Å, degrees): 11.644 11.644 11.644 60.00 60.00 60.00
Element x y z (fractional)
1 La 0.000 0.000 0.000
2 La 0.135 0.135 0.135
3 La 0.135 0.135 0.595
4 La 0.135 0.595 0.135
5 La 0.160 0.500 0.500
6 La 0.160 0.500 0.840
7 La 0.160 0.840 0.500
8 La 0.405 0.865 0.865
9 La 0.500 0.160 0.500
10 La 0.500 0.160 0.840
11 La 0.500 0.500 0.160
12 La 0.500 0.500 0.840
13 La 0.500 0.840 0.160
14 La 0.500 0.840 0.500
15 La 0.595 0.135 0.135
16 La 0.840 0.160 0.500
17 La 0.840 0.500 0.160
18 La 0.840 0.500 0.500
19 La 0.865 0.405 0.865
20 La 0.865 0.865 0.405
21 La 0.865 0.865 0.865
22 Mn 0.093 0.302 0.302
23 Mn 0.302 0.093 0.302
24 Mn 0.302 0.302 0.093
25 Mn 0.302 0.302 0.302
26 Mn 0.698 0.698 0.698
27 Mn 0.698 0.698 0.907
28 Mn 0.698 0.907 0.698
29 Mn 0.907 0.698 0.698
30 Sb 0.209 0.209 0.791
31 Sb 0.209 0.791 0.209
32 Sb 0.209 0.791 0.791
33 Sb 0.500 0.500 0.500
34 Sb 0.791 0.209 0.209
35 Sb 0.791 0.209 0.791
36 Sb 0.791 0.791 0.209
37 C 0.107 0.107 0.393
38 C 0.107 0.393 0.107
39 C 0.107 0.393 0.393
40 C 0.393 0.107 0.107
41 C 0.393 0.107 0.393
42 C 0.393 0.393 0.107
43 C 0.607 0.607 0.893
44 C 0.607 0.893 0.607
45 C 0.607 0.893 0.893
46 C 0.893 0.607 0.607
47 C 0.893 0.607 0.893
48 C 0.893 0.893 0.607

Properties
Spin magnetization, μB/cell: 3.88
Raw total energy, eV/atom: -7.2005
Formation energy without anion corrections, eV/atom: -0.609
DOS(E_F), states/eV/atom: 0.663

***

This record from Alexandria via LeMat-Bulk describes Li4Pd after structural relaxation. The functional is PBE.

Lattice parameters (Å, degrees): 4.787 4.787 4.787 90.00 90.00 90.00
Element x y z (fractional)
1 Li 0.000 0.000 0.000
2 Li 0.000 0.500 0.500
3 Li 0.500 0.000 0.500
4 Li 0.500 0.500 0.000
5 Pd 0.500 0.500 0.500

Properties
Spin magnetization, μB/cell: 0.00
Raw total energy, eV/atom: -2.5988
DOS(E_F), states/eV/atom: 0.364
Energy above the most stable polymorph in this dataset, eV per atom: 0.194
E_form, eV per atom: -0.03